The following is a GGA-PBE calculation of a relaxed structure of BiTeSCl2, from Alexandria.

**ΔE_f (raw)**: 0.218 eV/atom
**Energy above the most stable polymorph in this dataset**: 194 meV/atom
**Space-group type**: No. 123

Cell lengths 5.2590, 5.2590, 5.4212 Å; angles 90.00, 90.00, 90.00 degrees
Fractional positions:
1 Te 0.0000 0.0000 0.0000
2 S 0.0000 0.0000 0.5000
3 Bi 0.5000 0.5000 0.5000
4 Cl 0.0000 0.5000 0.0000
5 Cl 0.5000 0.0000 0.0000